No. 1
First-principles (GGA-PBE) data for a geometry-optimized BaSr2GeBr8 structure, as listed in Alexandria.

Cell and atoms, written as POSCAR:
```
BaSr2GeBr8
1.0
-6.832 -2.115 -0.419
2.048 -6.207 -2.360
0.447 -3.177 8.745
Br Ge Sr Ba
8 1 2 1
Direct
0.844 0.231 0.778 Br
0.638 0.730 0.500 Br
0.323 0.252 0.000 Br
0.156 0.769 0.222 Br
0.677 0.748 0.000 Br
0.156 0.769 0.778 Br
0.362 0.270 0.500 Br
0.844 0.231 0.222 Br
0.000 0.000 0.000 Ge
0.500 0.500 0.238 Sr
0.500 0.500 0.762 Sr
0.000 0.000 0.500 Ba
```

Values from the calculation:
**ΔE_f (raw)**: -1.712 eV/atom
**SG**: P2/m

=====

No. 2
First-principles (GGA-PBE) data for a geometry-optimized BaSrGeBr structure, as listed in Alexandria.

Cell and atoms, written as POSCAR:
```
BaSrGeBr
1.0
-3.483 -3.500 2.888
-1.030 -5.272 -1.967
2.139 -4.543 2.740
Ba Sr Br Ge
1 1 1 1
Direct
0.250 0.250 0.250 Ba
0.750 0.750 0.750 Sr
0.500 0.500 0.500 Br
0.000 0.000 0.000 Ge
```

Values from the calculation:
**ΔE_f (raw)**: -0.892 eV/atom
**SG**: F-43m

=====

No. 3
First-principles (GGA-PBE) data for a geometry-optimized BaTcGeBr2 structure, as listed in Alexandria.

Cell and atoms, written as POSCAR:
```
BaTcGeBr2
1.0
5.433 0.000 0.000
0.000 6.513 0.000
0.000 0.000 5.433
Ge Br Ba Tc
1 2 1 1
Direct
0.000 0.000 0.000 Ge
0.500 0.000 0.000 Br
0.000 0.000 0.500 Br
0.000 0.500 0.000 Ba
0.500 0.500 0.500 Tc
```

Values from the calculation:
**ΔE_f (raw)**: 0.574 eV/atom
**SG**: P4/mmm

=====

No. 4
First-principles (GGA-PBE) data for a geometry-optimized Ba4GeTeBr2 structure, as listed in Alexandria.

Cell and atoms, written as POSCAR:
```
Ba4GeTeBr2
1.0
-1.734 3.468 3.017
-6.280 1.594 -5.440
-6.793 -5.001 1.846
Ba Br Ge Te
4 2 1 1
Direct
0.500 0.274 0.728 Ba
0.000 0.727 0.736 Ba
0.000 0.273 0.264 Ba
0.500 0.726 0.272 Ba
0.000 0.000 0.000 Br
0.500 0.000 0.500 Br
0.000 0.500 0.500 Ge
0.500 0.500 0.000 Te
```

Values from the calculation:
**ΔE_f (raw)**: -1.467 eV/atom
**SG**: P2/m

=====

No. 5
First-principles (GGA-PBE) data for a geometry-optimized Ba6GeTe2Br3 structure, as listed in Alexandria.

Cell and atoms, written as POSCAR:
```
Ba6GeTe2Br3
1.0
8.560 0.004 0.002
-4.274 7.416 0.002
-1.427 -2.471 7.850
Ba Br Te Ge
6 3 2 1
Direct
0.391 0.078 0.234 Ba
0.078 0.391 0.234 Ba
0.235 0.235 0.766 Ba
0.765 0.765 0.234 Ba
0.609 0.922 0.766 Ba
0.922 0.609 0.766 Ba
0.830 0.170 0.500 Br
0.170 0.830 0.500 Br
0.500 0.500 0.500 Br
0.666 0.334 0.000 Te
0.334 0.666 0.000 Te
0.000 0.000 0.000 Ge
```

Values from the calculation:
**ΔE_f (raw)**: -1.568 eV/atom
**SG**: C2/m

=====

No. 6
First-principles (GGA-PBE) data for a geometry-optimized BaTiGe2Br structure, as listed in Alexandria.

Cell and atoms, written as POSCAR:
```
BaTiGe2Br
1.0
4.926 0.000 0.000
0.000 5.722 0.000
0.000 0.000 4.926
Ba Ge Ti Br
1 2 1 1
Direct
0.500 0.500 0.500 Ba
0.500 0.000 0.000 Ge
0.000 0.000 0.500 Ge
0.000 0.000 0.000 Ti
0.000 0.500 0.000 Br
```

Values from the calculation:
**ΔE_f (raw)**: -0.552 eV/atom
**SG**: P4/mmm

=====

No. 7
First-principles (GGA-PBE) data for a geometry-optimized BaVGe2Br structure, as listed in Alexandria.

Cell and atoms, written as POSCAR:
```
BaVGe2Br
1.0
-0.979 -2.364 -5.210
5.004 -1.687 -0.175
-1.585 -4.967 2.552
Br Ba V Ge
1 1 1 2
Direct
0.500 0.500 0.500 Br
0.000 0.000 0.000 Ba
0.000 0.500 0.000 V
0.500 0.000 0.000 Ge
0.000 0.000 0.500 Ge
```

Values from the calculation:
**ΔE_f (raw)**: 1.727 eV/atom
**SG**: P4/mmm

=====

No. 8
First-principles (GGA-PBE) data for a geometry-optimized BaHBr2 structure, as listed in Alexandria.

Cell and atoms, written as POSCAR:
```
BaHBr2
1.0
5.503 0.000 0.000
0.007 5.558 0.000
0.112 0.005 7.800
Br H Ba
4 2 2
Direct
0.501 0.000 0.246 Br
0.996 0.500 0.249 Br
0.004 0.500 0.751 Br
0.499 0.000 0.754 Br
0.445 0.497 0.529 H
0.555 0.503 0.471 H
0.500 0.500 0.000 Ba
0.000 0.000 0.500 Ba
```

Values from the calculation:
**SG**: P-1

=====

| no. | total energy (hartree per atom) |
| --- | --- |
| 1 | -0.1342 |
| 2 | -0.1237 |
| 3 | -0.1277 |
| 4 | -0.1402 |
| 5 | -0.1417 |
| 6 | -0.1726 |
| 7 | -0.0978 |
| 8 | -0.1401 |